Entry 1:
Density functional theory data (PBE) for a relaxed MgTaTcRu crystal.

Computed properties:
The formation energy is -0.145 eV per atom. For the density of states at the Fermi level, the calculation gives 6.237 states/eV/cell.

abc: 4.4560 4.4560 4.4560
angles: 60.00 60.00 60.00
Last column: nearest neighbours and their distance in Å.
Positions (direct):
1 Ta 0.5000 0.5000 0.5000  4 Tc 2.73, 4 Ru 2.73
2 Ru 0.7500 0.7500 0.7500  4 Mg 2.73, 4 Ta 2.73
3 Mg 0.0000 0.0000 0.0000  4 Ru 2.73, 4 Tc 2.73
4 Tc 0.2500 0.2500 0.2500  4 Ta 2.73, 4 Mg 2.73


Entry 2:
Density functional theory data (PBE) for a relaxed MgTaTcRu2 crystal.

Computed properties:
The formation energy is 1.436 eV per atom. For the density of states at the Fermi level, the calculation gives 7.963 states/eV/cell.

abc: 4.3629 4.3629 4.4408
angles: 90.00 90.00 90.00
Last column: nearest neighbours and their distance in Å.
Positions (direct):
1 Ta 0.5000 0.5000 0.5000  4 Tc 3.09, 8 Ru 3.11
2 Mg 0.0000 0.0000 0.0000  4 Ru 2.18, 2 Tc 2.22
3 Ru 0.0000 0.5000 0.0000  2 Mg 2.18
4 Tc 0.0000 0.0000 0.5000  2 Mg 2.22
5 Ru 0.5000 0.0000 0.0000  2 Mg 2.18


Entry 3:
Density functional theory data (PBE) for a relaxed Mg2TaTlRu crystal.

Computed properties:
The formation energy is 1.161 eV per atom. For the density of states at the Fermi level, the calculation gives 3.569 states/eV/cell.

abc: 4.7292 5.1256 4.7292
angles: 90.00 90.00 90.00
Last column: nearest neighbours and their distance in Å.
Positions (direct):
1 Mg 0.0000 0.0000 0.5000  2 Ru 2.36
2 Ru 0.0000 0.0000 0.0000  4 Mg 2.36, 2 Tl 2.56
3 Tl 0.0000 0.5000 0.0000  2 Ru 2.56
4 Mg 0.5000 0.0000 0.0000  2 Ru 2.36
5 Ta 0.5000 0.5000 0.5000  4 Tl 3.34, 8 Mg 3.49


Entry 4:
Density functional theory data (PBE) for a relaxed Tb2MgRu crystal.

Computed properties:
The formation energy is -0.269 eV per atom. For the density of states at the Fermi level, the calculation gives 3.125 states/eV/cell.

abc: 3.4537 3.4537 8.1366
angles: 90.00 90.00 90.00
Last column: nearest neighbours and their distance in Å.
Positions (direct):
1 Ru 0.5000 0.5000 0.0000  8 Tb 2.95
2 Tb 0.0000 0.0000 0.2038  4 Ru 2.95
3 Mg 0.5000 0.5000 0.5000  8 Tb 3.43, 4 Mg 3.45
4 Tb 0.0000 0.0000 0.7962  4 Ru 2.95


Entry 5:
Density functional theory data (PBE) for a relaxed Tb5MgRu4 crystal.

Computed properties:
The formation energy is -0.300 eV per atom. For the density of states at the Fermi level, the calculation gives 5.476 states/eV/cell.

abc: 3.4224 3.4224 18.5123
angles: 90.00 90.00 90.00
Last column: nearest neighbours and their distance in Å.
Positions (direct):
1 Tb 0.5000 0.5000 0.6833  8 Ru 2.94-3.03
2 Mg 0.0000 0.0000 0.0000  4 Mg 3.42, 8 Tb 3.46
3 Ru 0.0000 0.0000 0.4072  8 Tb 2.94-2.97
4 Ru 0.0000 0.0000 0.7816  8 Tb 2.88-3.03
5 Tb 0.5000 0.5000 0.1335  4 Ru 2.88
6 Tb 0.5000 0.5000 0.3167  8 Ru 2.94-3.03
7 Tb 0.5000 0.5000 0.5000  8 Ru 2.97
8 Ru 0.0000 0.0000 0.2184  8 Tb 2.88-3.03
9 Tb 0.5000 0.5000 0.8665  4 Ru 2.88
10 Ru 0.0000 0.0000 0.5928  8 Tb 2.94-2.97


Entry 6:
Density functional theory data (PBE) for a relaxed Tb4Mg5Ru2 crystal.

Computed properties:
The formation energy is -0.176 eV per atom. For the density of states at the Fermi level, the calculation gives 8.027 states/eV/cell.

abc: 3.5405 7.8753 9.9296
angles: 93.48 90.00 90.00
Last column: nearest neighbours and their distance in Å.
Positions (direct):
1 Mg 0.0000 0.5569 0.3230  1 Ru 2.92, 2 Mg 3.21-3.24
2 Mg 0.0000 0.5000 0.0000  4 Mg 3.02-3.21
3 Mg 0.0000 0.4431 0.6770  1 Ru 2.92, 2 Mg 3.21-3.24
4 Tb 0.5000 0.8340 0.1465  2 Ru 2.76
5 Tb 0.5000 0.7952 0.5486  4 Ru 2.89-2.94
6 Mg 0.0000 0.8127 0.8383  1 Ru 2.86, 1 Mg 3.02
7 Tb 0.5000 0.1660 0.8535  2 Ru 2.76
8 Tb 0.5000 0.2048 0.4514  4 Ru 2.89-2.94
9 Mg 0.0000 0.1873 0.1617  1 Ru 2.86, 1 Mg 3.02
10 Ru 0.0000 0.9279 0.3509  6 Tb 2.76-2.94, 2 Mg 2.86-2.92
11 Ru 0.0000 0.0721 0.6491  6 Tb 2.76-2.94, 2 Mg 2.86-2.92


Entry 7:
Density functional theory data (PBE) for a relaxed Tb4MgRu crystal.

Computed properties:
The formation energy is -0.241 eV per atom. For the density of states at the Fermi level, the calculation gives 26.748 states/eV/cell. As for the energy above the most stable polymorph in this dataset: 0.000 eV per atom.

abc: 9.7309 9.7309 9.7309
angles: 60.00 60.00 60.00
Last column: nearest neighbours and their distance in Å.
Positions (direct):
1 Tb 0.5938 0.2185 0.5938  3 Ru 2.84
2 Ru 0.8335 0.3888 0.3888  6 Tb 2.78-2.84
3 Tb 0.4374 0.0626 0.4374  2 Ru 2.78
4 Tb 0.0626 0.0626 0.4374  2 Ru 2.78
5 Mg 0.8292 0.8292 0.5123  3 Mg 3.08, 3 Tb 3.33
6 Tb 0.5938 0.5938 0.2185  3 Ru 2.84
7 Tb 0.5938 0.5938 0.5938  3 Ru 2.84
8 Tb 0.1879 0.8121 0.1879  2 Mg 3.33, 2 Ru 3.51, 10 Tb 3.52-3.66
9 Tb 0.0626 0.4374 0.4374  2 Ru 2.78
10 Mg 0.8292 0.8292 0.8292  3 Mg 3.08, 3 Tb 3.33
11 Mg 0.8292 0.5123 0.8292  3 Mg 3.08, 3 Tb 3.33
12 Tb 0.1879 0.8121 0.8121  2 Mg 3.33, 2 Ru 3.51, 10 Tb 3.52-3.66
13 Ru 0.3888 0.3888 0.8335  6 Tb 2.78-2.84
14 Tb 0.8121 0.1879 0.1879  2 Mg 3.33, 2 Ru 3.51, 10 Tb 3.52-3.66
15 Tb 0.0626 0.4374 0.0626  2 Ru 2.78
16 Tb 0.2185 0.5938 0.5938  3 Ru 2.84
17 Ru 0.3888 0.8335 0.3888  6 Tb 2.78-2.84
18 Tb 0.8121 0.1879 0.8121  2 Mg 3.33, 2 Ru 3.51, 10 Tb 3.52-3.66
19 Tb 0.4374 0.4374 0.0626  2 Ru 2.78
20 Mg 0.5123 0.8292 0.8292  3 Mg 3.08, 3 Tb 3.33
21 Tb 0.4374 0.0626 0.0626  2 Ru 2.78
22 Tb 0.8121 0.8121 0.1879  2 Mg 3.33, 2 Ru 3.51, 10 Tb 3.52-3.66
23 Ru 0.3888 0.3888 0.3888  6 Tb 2.78-2.84
24 Tb 0.1879 0.1879 0.8121  2 Mg 3.33, 2 Ru 3.51, 10 Tb 3.52-3.66


Entry 8:
Density functional theory data (PBE) for a relaxed TbMg3Ru crystal.

Computed properties:
The formation energy is -0.147 eV per atom. For the density of states at the Fermi level, the calculation gives 6.488 states/eV/cell.

abc: 5.3291 5.9014 7.8059
angles: 90.00 115.04 90.00
Last column: nearest neighbours and their distance in Å.
Positions (direct):
1 Mg 0.7187 0.6950 0.4879  2 Ru 2.73-2.75, 4 Mg 2.92-3.06
2 Ru 0.1448 0.9476 0.7468  5 Mg 2.73-2.75, 2 Tb 2.76-2.83
3 Mg 0.7187 0.2003 0.4879  2 Ru 2.73-2.75, 4 Mg 2.92-3.06
4 Ru 0.8895 0.4476 0.8138  5 Mg 2.73-2.75, 2 Tb 2.76-2.83
5 Mg 0.3156 0.7003 0.0727  2 Ru 2.73-2.75, 4 Mg 2.92-3.06
6 Mg 0.1482 0.9476 0.3967  1 Ru 2.74, 2 Mg 3.06
7 Tb 0.7110 0.9476 0.8659  2 Ru 2.76-2.83
8 Mg 0.8861 0.4476 0.1639  1 Ru 2.74, 2 Mg 3.06
9 Tb 0.3233 0.4476 0.6947  2 Ru 2.76-2.83
10 Mg 0.3156 0.1950 0.0727  2 Ru 2.73-2.75, 4 Mg 2.92-3.06


- Which of these has the lowest formation energy?
  Tb5MgRu4


- formation energy of number 3 (Mg2TaTlRu)?
  1.161 eV per atom


- What is the formula in the eighth record?
  TbMg3Ru